[1]
DFT (PBEsol) results for a relaxed CaPPb2 crystal.

Cell and atoms, written as POSCAR:
```
CaPPb2
1.0
-3.568 -1.316 0.815
1.662 -2.827 2.711
-1.324 5.753 3.492
Ca P Pb
1 1 2
Direct
0.000 0.109 0.593 Ca
0.500 0.641 0.659 P
0.000 0.818 0.009 Pb
0.500 0.432 0.238 Pb
```

Properties
Space-group type: No. 6
Formation enthalpy at 0 K: -0.3941 eV per atom
Fermi-level density of states: 1.37 states/eV/f.u.

---

[2]
DFT (PBEsol) results for a relaxed KCrPb2 crystal.

Cell and atoms, written as POSCAR:
```
KCrPb2
1.0
3.488 0.000 0.000
1.744 3.020 0.000
1.744 1.007 10.156
Cr K Pb
1 1 2
Direct
0.500 0.500 0.500 Cr
0.000 0.000 0.000 K
0.237 0.237 0.290 Pb
0.763 0.763 0.710 Pb
```

Properties
Space-group type: No. 166
Formation enthalpy at 0 K: 0.3746 eV per atom
Fermi-level density of states: 2.83 states/eV/f.u.

---

[3]
DFT (PBEsol) results for a relaxed Cs3RhO crystal.

Cell and atoms, written as POSCAR:
```
Cs3RhO
1.0
5.634 0.000 0.000
0.000 5.634 0.000
0.000 0.000 5.634
Cs Rh O
3 1 1
Direct
0.000 0.500 0.000 Cs
0.000 0.000 0.500 Cs
0.500 0.000 0.000 Cs
0.000 0.000 0.000 Rh
0.500 0.500 0.500 O
```

Properties
Space-group type: No. 221
E_form (uncorrected): 329 meV/atom
Fermi-level density of states: 8.12 states/eV/f.u.

---

[4]
DFT (PBEsol) results for a relaxed CaZrAu4 crystal.

Cell and atoms, written as POSCAR:
```
CaZrAu4
1.0
5.489 0.000 0.000
2.744 4.754 0.000
2.744 1.585 4.482
Au Ca Zr
4 1 1
Direct
0.375 0.375 0.375 Au
0.375 0.375 0.875 Au
0.875 0.375 0.375 Au
0.375 0.875 0.375 Au
0.750 0.750 0.750 Ca
0.000 0.000 0.000 Zr
```

Properties
Space-group type: No. 216
Formation enthalpy at 0 K: -0.3244 eV per atom
Fermi-level density of states: 5.70 states/eV/f.u.

---

[5]
DFT (PBEsol) results for a relaxed HfNi3Cl crystal.

Cell and atoms, written as POSCAR:
```
HfNi3Cl
1.0
4.143 0.000 0.000
0.000 4.143 0.000
0.000 0.000 4.143
Ni Hf Cl
3 1 1
Direct
0.000 0.500 0.000 Ni
0.000 0.000 0.500 Ni
0.500 0.000 0.000 Ni
0.500 0.500 0.500 Hf
0.000 0.000 0.000 Cl
```

Properties
Space-group type: No. 221
E_form (uncorrected): 432 meV/atom
Fermi-level density of states: 3.35 states/eV/f.u.

---

[6]
DFT (PBEsol) results for a relaxed ZnRe2Cl crystal.

Cell and atoms, written as POSCAR:
```
ZnRe2Cl
1.0
-0.201 4.203 1.208
-3.875 2.019 0.262
-1.647 1.077 3.910
Re Zn Cl
2 1 1
Direct
0.000 0.000 0.000 Re
0.250 0.250 0.250 Re
0.750 0.750 0.750 Zn
0.500 0.500 0.500 Cl
```

Properties
Space-group type: No. 216
E_form (uncorrected): 942 meV/atom
Fermi-level density of states: 3.16 states/eV/f.u.

---

[7]
DFT (PBEsol) results for a relaxed LiTiO2 crystal.

Cell and atoms, written as POSCAR:
```
LiTiO2
1.0
-5.250 -2.054 1.165
0.115 -3.080 -4.913
-0.877 -5.738 0.153
Li Ti O
4 4 8
Direct
0.500 0.000 0.000 Li
0.000 0.500 0.500 Li
0.500 0.500 0.500 Li
0.000 0.500 0.000 Li
0.000 0.000 0.000 Ti
0.500 0.000 0.500 Ti
0.000 0.000 0.500 Ti
0.500 0.500 0.000 Ti
0.750 0.230 0.500 O
0.250 0.250 0.001 O
0.750 0.250 0.001 O
0.250 0.770 0.500 O
0.250 0.258 0.500 O
0.750 0.750 0.999 O
0.250 0.750 0.999 O
0.750 0.742 0.500 O
```

Properties
Space-group type: No. 74
E_form (uncorrected): -2692 meV/atom
Fermi-level density of states: 1.02 states/eV/f.u.

---

[8]
DFT (PBEsol) results for a relaxed TcWSeBr2 crystal.

Cell and atoms, written as POSCAR:
```
TcWSeBr2
1.0
4.716 0.000 0.000
0.000 4.991 0.000
0.000 0.000 4.991
Br Se Tc W
2 1 1 1
Direct
0.000 0.000 0.500 Br
0.000 0.500 0.000 Br
0.500 0.000 0.000 Se
0.000 0.000 0.000 Tc
0.500 0.500 0.500 W
```

Properties
Space-group type: No. 123
E_form (uncorrected): 1414 meV/atom
Fermi-level density of states: 5.52 states/eV/f.u.

---

[9]
DFT (PBEsol) results for a relaxed ScReRu crystal.

Cell and atoms, written as POSCAR:
```
ScReRu
1.0
-0.007 0.750 -2.686
1.879 -3.794 -1.064
-4.352 0.327 0.102
Re Ru Sc
1 1 1
Direct
0.974 0.000 0.000 Re
0.685 0.333 0.667 Ru
0.341 0.667 0.333 Sc
```

Properties
Space-group type: No. 156
Formation enthalpy at 0 K: 0.0231 eV per atom
Fermi-level density of states: 2.11 states/eV/f.u.

---

[10]
DFT (PBEsol) results for a relaxed TaCo4Au crystal.

Cell and atoms, written as POSCAR:
```
TaCo4Au
1.0
4.687 0.000 0.000
2.344 4.059 0.000
2.344 1.353 3.827
Au Co Ta
1 4 1
Direct
0.000 0.000 0.000 Au
0.375 0.375 0.375 Co
0.375 0.375 0.875 Co
0.875 0.375 0.375 Co
0.375 0.875 0.375 Co
0.750 0.750 0.750 Ta
```

Properties
Space-group type: No. 216
Formation enthalpy at 0 K: -0.1293 eV per atom
Fermi-level density of states: 9.37 states/eV/f.u.

---

[11]
DFT (PBEsol) results for a relaxed Ba2AgPd2 crystal.

Cell and atoms, written as POSCAR:
```
Ba2AgPd2
1.0
3.891 0.000 0.000
0.000 3.891 0.000
-1.945 -1.945 9.102
Pd Ba Ag
2 2 1
Direct
0.250 0.750 0.500 Pd
0.750 0.250 0.500 Pd
0.383 0.383 0.766 Ba
0.617 0.617 0.234 Ba
0.000 0.000 0.000 Ag
```

Properties
Space-group type: No. 139
Formation enthalpy at 0 K: -0.1956 eV per atom
Fermi-level density of states: 2.71 states/eV/f.u.

---

[12]
DFT (PBEsol) results for a relaxed CdRuBr4 crystal.

Cell and atoms, written as POSCAR:
```
CdRuBr4
1.0
5.992 0.000 0.000
2.996 5.189 0.000
2.996 1.730 4.892
Br Cd Ru
4 1 1
Direct
0.876 0.375 0.375 Br
0.375 0.375 0.375 Br
0.375 0.375 0.876 Br
0.375 0.876 0.375 Br
0.750 0.750 0.750 Cd
0.000 0.000 0.000 Ru
```

Properties
Space-group type: No. 216
E_form (uncorrected): 1174 meV/atom
Fermi-level density of states: 8.50 states/eV/f.u.

---

[13]
DFT (PBEsol) results for a relaxed Y2FeOs crystal.

Cell and atoms, written as POSCAR:
```
Y2FeOs
1.0
-0.233 2.735 2.915
2.784 -2.265 2.347
2.366 3.632 -3.218
Y Os Fe
2 1 1
Direct
0.000 0.979 0.957 Y
0.500 0.271 0.542 Y
0.500 0.575 0.150 Os
0.000 0.676 0.351 Fe
```

Properties
Space-group type: No. 38
Formation enthalpy at 0 K: -0.0809 eV per atom
Fermi-level density of states: 3.49 states/eV/f.u.

---

[14]
DFT (PBEsol) results for a relaxed NaHPd2 crystal.

Cell and atoms, written as POSCAR:
```
NaHPd2
1.0
5.589 0.000 0.000
2.794 4.840 0.000
2.794 1.613 4.563
Na Pd H
2 4 2
Direct
0.750 0.750 0.750 Na
0.500 0.500 0.500 Na
0.125 0.125 0.625 Pd
0.125 0.125 0.125 Pd
0.625 0.125 0.125 Pd
0.125 0.625 0.125 Pd
0.250 0.250 0.250 H
0.000 0.000 0.000 H
```

Properties
Space-group type: No. 227
Fermi-level density of states: 1.53 states/eV/f.u.

---

[15]
DFT (PBEsol) results for a relaxed TlPW2 crystal.

Cell and atoms, written as POSCAR:
```
TlPW2
1.0
-0.225 0.684 2.954
-2.355 -1.909 0.263
4.597 -5.116 1.534
P Tl W
1 1 2
Direct
0.500 0.500 0.500 P
0.500 0.500 0.000 Tl
0.000 0.014 0.686 W
0.000 0.986 0.314 W
```

Properties
Space-group type: No. 10
Formation enthalpy at 0 K: 0.3445 eV per atom
Fermi-level density of states: 3.16 states/eV/f.u.

---

[16]
DFT (PBEsol) results for a relaxed YMn2 crystal.

Cell and atoms, written as POSCAR:
```
YMn2
1.0
-1.869 0.344 2.377
-1.143 -0.521 -2.771
0.246 -6.805 1.177
Mn Y
2 1
Direct
0.667 0.333 0.354 Mn
0.333 0.667 0.646 Mn
0.000 0.000 0.000 Y
```

Properties
Space-group type: No. 164
Formation enthalpy at 0 K: 0.8051 eV per atom
Fermi-level density of states: 3.29 states/eV/f.u.

---

[17]
DFT (PBEsol) results for a relaxed Cd2CoBr crystal.

Cell and atoms, written as POSCAR:
```
Cd2CoBr
1.0
-1.078 -2.519 -1.444
4.106 -2.017 0.453
-1.561 -2.094 4.817
Co Br Cd
1 1 2
Direct
0.500 0.000 0.500 Co
0.000 0.500 0.500 Br
0.000 0.000 0.000 Cd
0.500 0.500 0.000 Cd
```

Properties
Space-group type: No. 47
E_form (uncorrected): 489 meV/atom
Fermi-level density of states: 5.22 states/eV/f.u.

---

[18]
DFT (PBEsol) results for a relaxed BaSiB3 crystal.

Cell and atoms, written as POSCAR:
```
BaSiB3
1.0
-2.156 -3.133 -2.910
4.158 -0.774 -2.246
0.999 -3.538 3.069
Si B Ba
1 3 1
Direct
0.500 0.500 0.500 Si
0.000 0.500 0.000 B
0.000 0.000 0.500 B
0.500 0.000 0.000 B
0.000 0.000 0.000 Ba
```

Properties
Space-group type: No. 221
E_form (uncorrected): 3078 meV/atom
Fermi-level density of states: 2.61 states/eV/f.u.

---

[19]
DFT (PBEsol) results for a relaxed Y2Au crystal.

Cell and atoms, written as POSCAR:
```
Y2Au
1.0
-2.973 -1.592 -1.250
2.848 -2.744 -3.281
2.275 -5.061 6.208
Y Au
4 2
Direct
0.076 0.750 0.152 Y
0.924 0.250 0.848 Y
0.780 0.750 0.559 Y
0.220 0.250 0.441 Y
0.423 0.750 0.846 Au
0.577 0.250 0.154 Au
```

Properties
Space-group type: No. 63
Formation enthalpy at 0 K: -0.5671 eV per atom
Fermi-level density of states: 2.89 states/eV/f.u.

---

[20]
DFT (PBEsol) results for a relaxed GaGeF3 crystal.

Cell and atoms, written as POSCAR:
```
GaGeF3
1.0
4.342 0.000 0.000
0.000 4.342 0.000
0.000 0.000 4.342
Ge Ga F
1 1 3
Direct
0.000 0.000 0.000 Ge
0.500 0.500 0.500 Ga
0.000 0.500 0.000 F
0.000 0.000 0.500 F
0.500 0.000 0.000 F
```

Properties
Space-group type: No. 221
E_form (uncorrected): -1683 meV/atom

---

For reference, raw total energy by record: -0.161, -0.164, -0.107, -0.177, -0.212, -0.243, -0.290, -0.188, -0.368, -0.295, -0.151, -0.072, -0.323, -0.158, -0.318, -0.293, -0.092, -0.100, -0.236, -0.165 Ha/atom.
For reference, spin magnetization by record: 0.0, 3.5, 0.4, 0.0, 0.0, 0.0, 0.0, 3.6, 0.0, 3.0, 0.0, 2.2, 0.0, 0.0, 0.0, 6.9, 1.6, 0.0, 0.0, 0.0 μB per cell.